# 1
Here is a relaxed K3RhSe crystal from Alexandria. Energies are from PBE.

Cell lengths 5.5310, 5.5310, 5.5310 Å; angles 90.00, 90.00, 90.00 degrees
Sites, in units of the cell vectors:
K 0.0000 0.0000 0.5000
K 0.0000 0.5000 0.0000
K 0.5000 0.0000 0.0000
Rh 0.0000 0.0000 0.0000
Se 0.5000 0.5000 0.5000

Results
symmetry = Pm-3m
formation energy without anion corrections = 0.257 eV per atom
total magnetization = 0.16 μB per cell
DOS(E_F) = 0.510 states/eV/atom
raw total energy = -2.57 eV per atom

# 2
Here is a relaxed Rb2TmThSe4 crystal from Alexandria. Energies are from PBE.

Cell lengths 7.3558, 4.2241, 8.4270 Å; angles 90.00, 106.67, 90.00 degrees
Sites, in units of the cell vectors:
Rb 0.0000 0.0000 0.0000
Rb 0.5000 0.5000 0.0000
Tm 0.0000 0.5000 0.5000
Th 0.5000 0.0000 0.5000
Se 0.2256 0.0000 0.6963
Se 0.2564 0.5000 0.2965
Se 0.7436 0.5000 0.7035
Se 0.7744 0.0000 0.3037

Results
symmetry = P2/m
formation energy without anion corrections = -1.607 eV per atom
total magnetization = 0.00 μB per cell
DOS(E_F) = 0.529 states/eV/atom
raw total energy = -5.08 eV per atom

# 3
Here is a relaxed Li3Ac2ZnPt4 crystal from Alexandria. Energies are from PBE.

Cell lengths 4.2783, 4.2783, 10.6753 Å; angles 90.00, 90.00, 90.00 degrees
Sites, in units of the cell vectors:
Li 0.0000 0.0000 0.0000
Li 0.0000 0.5000 0.6170
Li 0.5000 0.0000 0.3830
Ac 0.0000 0.5000 0.2665
Ac 0.5000 0.0000 0.7335
Zn 0.5000 0.5000 0.0000
Pt 0.0000 0.0000 0.5000
Pt 0.0000 0.5000 0.8549
Pt 0.5000 0.0000 0.1451
Pt 0.5000 0.5000 0.5000

Results
E_form = -781 meV/atom
symmetry = P-4m2
total magnetization = 0.00 μB per cell
DOS(E_F) = 0.382 states/eV/atom
raw total energy = -4.72 eV per atom

# 4
Here is a relaxed MgMn2Ag crystal from Alexandria. Energies are from PBE.

Cell lengths 9.4107, 9.4107, 9.4107 Å; angles 17.89, 17.89, 17.89 degrees
Sites, in units of the cell vectors:
Mg 0.0000 0.0000 0.0000
Mn 0.2492 0.2492 0.2492
Mn 0.7508 0.7508 0.7508
Ag 0.5000 0.5000 0.5000

Results
E_form = 375 meV/atom
symmetry = R-3m
total magnetization = 7.72 μB per cell
DOS(E_F) = 0.667 states/eV/atom
raw total energy = -5.32 eV per atom

# 5
Here is a relaxed Li2YTeH crystal from Alexandria. Energies are from PBE.

Cell lengths 4.3870, 4.3870, 4.4715 Å; angles 90.00, 90.00, 90.00 degrees
Sites, in units of the cell vectors:
Li 0.0000 0.5000 0.0000
Li 0.5000 0.0000 0.0000
Y 0.0000 0.0000 0.5000
Te 0.5000 0.5000 0.5000
H 0.0000 0.0000 0.0000

Results
symmetry = P4/mmm
total magnetization = 0.00 μB per cell
DOS(E_F) = 0.462 states/eV/atom
raw total energy = -3.96 eV per atom

# 6
Here is a relaxed CaGdHgIr crystal from Alexandria. Energies are from PBE.

Cell lengths 5.0694, 5.0694, 5.0694 Å; angles 60.00, 60.00, 60.00 degrees
Sites, in units of the cell vectors:
Ca 0.0000 0.0000 0.0000
Gd 0.5000 0.5000 0.5000
Hg 0.2500 0.2500 0.2500
Ir 0.7500 0.7500 0.7500

Results
E_form = -462 meV/atom
symmetry = F-43m
total magnetization = 7.24 μB per cell
DOS(E_F) = 0.776 states/eV/atom
raw total energy = -6.77 eV per atom

# 7
Here is a relaxed Pr7Y3Tm crystal from Alexandria. Energies are from PBE.

Cell lengths 8.6484, 8.6484, 5.9653 Å; angles 110.14, 110.14, 83.15 degrees
Sites, in units of the cell vectors:
Pr 0.0000 0.0000 0.0000
Pr 0.0964 0.5200 0.3084
Pr 0.2885 0.2885 0.7898
Pr 0.4800 0.9036 0.6916
Pr 0.5200 0.0964 0.3084
Pr 0.7115 0.7115 0.2102
Pr 0.9036 0.4800 0.6916
Y 0.2956 0.7044 0.0000
Y 0.5000 0.5000 0.5000
Y 0.7044 0.2956 0.0000
Tm 0.0000 0.0000 0.5000

Results
E_form = 222 meV/atom
E above lowest polymorph = 0.406 eV/f.u.
symmetry = C2/m
total magnetization = 0.00 μB per cell
DOS(E_F) = 1.287 states/eV/atom
raw total energy = -4.99 eV per atom

# 8
Here is a relaxed BaLa2HgRh crystal from Alexandria. Energies are from PBE.

Cell lengths 5.5168, 5.5168, 5.6019 Å; angles 90.00, 90.00, 90.00 degrees
Sites, in units of the cell vectors:
Ba 0.0000 0.0000 0.0000
La 0.0000 0.5000 0.5000
La 0.5000 0.0000 0.5000
Hg 0.5000 0.5000 0.0000
Rh 0.5000 0.5000 0.5000

Results
E_form = -330 meV/atom
E above lowest polymorph = 0.000 eV/f.u.
symmetry = P4/mmm
total magnetization = 0.00 μB per cell
DOS(E_F) = 0.741 states/eV/atom
raw total energy = -4.22 eV per atom